VASP calculation (PBEsol) on crystalline Sr3In at its relaxed geometry.

a = 4.115 Å, b = 4.115 Å, c = 11.946 Å
α = 90.00°, β = 90.00°, γ = 120.00°
Sites, in units of the cell vectors:
Sr1 0.000 0.000 0.000
Sr2 0.333 0.667 0.296
Sr3 0.333 0.667 0.704
In1 0.000 0.000 0.500

Properties
Energy of formation from the pure elements: -106 meV/atom
M_tot: 0.00 μB/atom
SG: P-6m2, No. 187